No. 1
CrFeRe2: relaxed, PBE-GGA.

abc: 4.5798 4.5798 4.5622
angles: 100.03 100.03 34.00
Atoms (fractional coordinates):
Cr (0.0000, 0.0000, 0.0000)
Fe (0.2611, 0.2611, 0.7573)
Re (0.5160, 0.5160, 0.5282)
Re (0.7556, 0.7556, 0.2448)

E above lowest polymorph = 0.13 eV/f.u.
crystal system = monoclinic
V = 13.154 Å³/atom
SG = Cm



No. 2
CrFeRe2: relaxed, PBE-GGA.

abc: 9.4654 9.4654 9.4654
angles: 157.96 157.96 31.37
Atoms (fractional coordinates):
Cr (0.0000, 0.0000, 0.0000)
Cr (0.7500, 0.2500, 0.5000)
Fe (0.2500, 0.7500, 0.5000)
Fe (0.5000, 0.5000, 0.0000)
Re (0.1338, 0.6250, 0.0088)
Re (0.3750, 0.3838, 0.5088)
Re (0.6162, 0.1250, 0.9912)
Re (0.8750, 0.8662, 0.4912)

E above lowest polymorph = 3.12 eV/f.u.
crystal system = tetragonal
V = 14.918 Å³/atom
SG = I-42d



No. 3
CrFe2Re: relaxed, PBE-GGA.

abc: 4.4291 4.4291 4.4291
angles: 131.59 131.59 70.88
Atoms (fractional coordinates):
Cr (0.0000, 0.0000, 0.0000)
Fe (0.2500, 0.7500, 0.5000)
Fe (0.7500, 0.2500, 0.5000)
Re (0.5000, 0.5000, 0.0000)

crystal system = tetragonal
V = 11.901 Å³/atom
SG = I4/mmm



No. 4
CrFeRe2: relaxed, PBE-GGA.

abc: 4.9256 4.9256 4.9256
angles: 143.77 128.89 64.25
Atoms (fractional coordinates):
Cr (0.0000, 0.0000, 0.0000)
Fe (0.5000, 0.5000, 0.0000)
Re (0.2471, 0.7471, 0.5000)
Re (0.7529, 0.2529, 0.5000)

E above lowest polymorph = 0.21 eV/f.u.
crystal system = orthorhombic
V = 13.576 Å³/atom
SG = Immm



No. 5
Cr2Fe2Re: relaxed, PBE-GGA.

abc: 5.5467 5.5467 5.5467
angles: 142.65 142.65 53.85
Atoms (fractional coordinates):
Cr (0.1072, 0.1072, 0.0000)
Cr (0.8928, 0.8928, 0.0000)
Fe (0.2500, 0.7500, 0.5000)
Fe (0.7500, 0.2500, 0.5000)
Re (0.5000, 0.5000, 0.0000)

E above lowest polymorph = 2.08 eV/f.u.
crystal system = tetragonal
V = 12.479 Å³/atom
SG = I4/mmm



No. 6
CrFe6Re: relaxed, PBE-GGA.

abc: 6.1656 6.1656 10.0414
angles: 90.00 90.00 109.21
Atoms (fractional coordinates):
Cr (0.0000, 0.0000, 0.2490)
Cr (0.0000, 0.0000, 0.7510)
Cr (0.2515, 0.7485, 0.5000)
Cr (0.7485, 0.2515, 0.5000)
Fe (0.0000, 0.0000, 0.0000)
Fe (0.0000, 0.0000, 0.5000)
Fe (0.1204, 0.3730, 0.3762)
Fe (0.1204, 0.3730, 0.6238)
Fe (0.1228, 0.3708, 0.1268)
Fe (0.1228, 0.3708, 0.8732)
Fe (0.2477, 0.7523, 0.2533)
Fe (0.2477, 0.7523, 0.7467)
Fe (0.3708, 0.1228, 0.1268)
Fe (0.3708, 0.1228, 0.8732)
Fe (0.3730, 0.1204, 0.3762)
Fe (0.3730, 0.1204, 0.6238)
Fe (0.5000, 0.5000, 0.0000)
Fe (0.5000, 0.5000, 0.5000)
Fe (0.6270, 0.8796, 0.3762)
Fe (0.6270, 0.8796, 0.6238)
Fe (0.6292, 0.8772, 0.1268)
Fe (0.6292, 0.8772, 0.8732)
Fe (0.7523, 0.2477, 0.2533)
Fe (0.7523, 0.2477, 0.7467)
Fe (0.8772, 0.6292, 0.1268)
Fe (0.8772, 0.6292, 0.8732)
Fe (0.8796, 0.6270, 0.3762)
Fe (0.8796, 0.6270, 0.6238)
Re (0.2510, 0.7490, 0.0000)
Re (0.5000, 0.5000, 0.2498)
Re (0.5000, 0.5000, 0.7502)
Re (0.7490, 0.2510, 0.0000)

crystal system = orthorhombic
V = 11.264 Å³/atom
SG = Cmmm



No. 7
CrFe2Re: relaxed, PBE-GGA.

abc: 4.4165 4.4165 4.4822
angles: 99.46 99.46 34.16
Atoms (fractional coordinates):
Cr (0.0000, 0.0000, 0.0000)
Fe (0.2567, 0.2567, 0.7904)
Fe (0.5105, 0.5105, 0.5360)
Re (0.7580, 0.7580, 0.2948)

crystal system = monoclinic
V = 12.091 Å³/atom
SG = Cm



No. 8
Cr2Fe2Re: relaxed, PBE-GGA.

abc: 6.7449 6.7449 2.6061
angles: 90.00 90.00 90.00
Atoms (fractional coordinates):
Cr (0.1683, 0.3317, 0.0000)
Cr (0.3317, 0.8317, 0.0000)
Cr (0.6683, 0.1683, 0.0000)
Cr (0.8317, 0.6683, 0.0000)
Fe (0.1280, 0.6280, 0.5000)
Fe (0.3720, 0.1280, 0.5000)
Fe (0.6280, 0.8720, 0.5000)
Fe (0.8720, 0.3720, 0.5000)
Re (0.0000, 0.0000, 0.5000)
Re (0.5000, 0.5000, 0.5000)

E above lowest polymorph = 0.00 eV/f.u.
crystal system = tetragonal
V = 11.856 Å³/atom
SG = P4/mbm



No. 9
CrFe2Re: relaxed, PBE-GGA.

abc: 2.9616 2.9616 5.6949
angles: 90.00 90.00 90.00
Atoms (fractional coordinates):
Cr (0.0000, 0.0000, 0.0000)
Fe (0.0000, 0.0000, 0.4796)
Fe (0.5000, 0.5000, 0.2486)
Re (0.5000, 0.5000, 0.7502)

crystal system = tetragonal
V = 12.487 Å³/atom
SG = P4mm



No. 10
CrFeRe2: relaxed, PBE-GGA.

abc: 4.5948 4.5948 4.5948
angles: 131.44 131.44 71.12
Atoms (fractional coordinates):
Cr (0.0000, 0.0000, 0.0000)
Fe (0.2500, 0.7500, 0.5000)
Re (0.5000, 0.5000, 0.0000)
Re (0.7500, 0.2500, 0.5000)

E above lowest polymorph = 0.00 eV/f.u.
crystal system = tetragonal
V = 13.344 Å³/atom
SG = I-4m2



No. 11
Cr3FeRe2: relaxed, PBE-GGA.

abc: 5.8350 4.3457 6.1856
angles: 90.00 103.11 90.00
Atoms (fractional coordinates):
Cr (0.0000, 0.0000, 0.0000)
Cr (0.0000, 0.5000, 0.0000)
Cr (0.0416, 0.2500, 0.6495)
Cr (0.2263, 0.2500, 0.3600)
Cr (0.7737, 0.7500, 0.6400)
Cr (0.9584, 0.7500, 0.3505)
Fe (0.3738, 0.2500, 0.0003)
Fe (0.6262, 0.7500, 0.9997)
Re (0.2696, 0.7500, 0.7096)
Re (0.4278, 0.7500, 0.3082)
Re (0.5722, 0.2500, 0.6918)
Re (0.7304, 0.2500, 0.2904)

crystal system = monoclinic
V = 12.730 Å³/atom
SG = P2_1/m



No. 12
CrFeRe2: relaxed, PBE-GGA.

abc: 3.0232 3.0232 5.8208
angles: 90.00 90.00 90.00
Atoms (fractional coordinates):
Cr (0.0000, 0.0000, 0.0000)
Fe (0.0000, 0.0000, 0.5000)
Re (0.5000, 0.5000, 0.2499)
Re (0.5000, 0.5000, 0.7501)

E above lowest polymorph = 0.09 eV/f.u.
crystal system = tetragonal
V = 13.300 Å³/atom
SG = P4/mmm



Computed formation energy from the elements, in the same sequence as the records: 130, 876, 73, 149, 580, 71, 127, 163, 62, 96, 140, 119 meV per atom.
Computed DOS at the Fermi energy, in the same sequence as the records: 4.0, 10.6, 3.7, 4.0, 6.1, 35.2, 4.9, 12.9, 3.2, 3.5, 12.0, 3.5 states/eV/cell.